MnAsO4 after structural relaxation, computed with PBEsol.

abc: 4.804 6.668 8.973
angles: 90.00 90.00 94.20
Each line ends with the local moment (μB).
Atoms (fractional coordinates):
Mn 0.500 0.500 0.500  3.62
Mn 0.000 0.000 0.000  3.62
Mn 0.000 0.500 0.000  3.59
Mn 0.500 0.000 0.500  3.59
As 0.964 0.783 0.319  0.04
As 0.464 0.283 0.181  0.04
As 0.036 0.217 0.681  0.04
As 0.536 0.717 0.819  0.04
O 0.306 0.059 0.123  0.03
O 0.687 0.507 0.877  0.04
O 0.194 0.441 0.623  0.03
O 0.696 0.214 0.621  0.04
O 0.804 0.286 0.121  0.04
O 0.589 0.728 0.627  0.04
O 0.089 0.228 0.873  0.04
O 0.911 0.772 0.127  0.04
O 0.694 0.941 0.877  0.03
O 0.187 0.007 0.623  0.04
O 0.806 0.559 0.377  0.03
O 0.196 0.714 0.879  0.04
O 0.813 0.993 0.377  0.04
O 0.304 0.786 0.379  0.04
O 0.411 0.272 0.373  0.04
O 0.313 0.493 0.123  0.04

Summary:
SG: P2_1/c (14)
formation energy from raw total energies: -1.33 eV per atom
E: -175.47 eV per cell